4
Lattice="0.000 2.843 2.843 2.843 0.000 2.843 2.843 2.843 0.000" Properties=species:S:1:pos:R:3 comment="Be2VW GGA-PBE relaxed" m_tot_mub_per_cell=0.00 space_group="Fm-3m (225)" formation_enthalpy_0k_kj_per_mol_fu=65 pbc="T T T"
V 0.000 0.000 0.000
Be 4.265 4.265 4.265
W 2.843 2.843 2.843
Be 1.422 1.422 1.422

***

4
Lattice="-0.591 2.409 -2.027 -3.207 1.086 2.227 2.362 2.440 2.212" Properties=species:S:1:pos:R:3 comment="BeV2W GGA-PBE relaxed" m_tot_mub_per_cell=0.00 space_group="P4/mmm (123)" formation_enthalpy_0k_kj_per_mol_fu=7 pbc="T T T"
V 1.181 1.220 1.106
V -1.604 0.543 1.113
W -0.295 1.205 -1.013
Be -0.718 2.968 1.206

***

4
Lattice="-2.104 -2.278 1.231 1.024 -3.142 0.456 1.083 -0.676 5.120" Properties=species:S:1:pos:R:3 comment="Be2VW GGA-PBE relaxed" m_tot_mub_per_cell=0.00 space_group="R-3m (166)" formation_enthalpy_0k_kj_per_mol_fu=156 pbc="T T T"
W 0.002 -3.048 3.404
Be 0.026 -4.554 5.180
V 0.000 0.000 0.000
Be -0.023 -1.542 1.628

***

4
Lattice="3.445 0.000 0.000 0.000 3.669 0.000 0.000 0.000 3.669" Properties=species:S:1:pos:R:3 comment="Be2VW GGA-PBE relaxed" m_tot_mub_per_cell=0.00 space_group="P4/mmm (123)" formation_enthalpy_0k_kj_per_mol_fu=7 pbc="T T T"
V 1.722 1.835 1.835
Be 0.000 0.000 1.835
Be 0.000 1.835 0.000
W 1.722 0.000 0.000

***

8
Lattice="4.201 0.000 0.000 0.000 4.201 0.000 2.101 2.101 8.368" Properties=species:S:1:pos:R:3 comment="YBe2V GGA-PBE relaxed" m_tot_mub_per_cell=5.93 space_group="I4_1/amd (141)" formation_enthalpy_0k_kj_per_mol_fu=230 pbc="T T T"
Be 5.251 4.200 6.276
Y 0.000 0.000 0.000
Y 4.201 2.101 4.184
Be 3.151 4.203 6.276
V 2.101 4.201 4.184
V 2.101 2.101 0.000
Be 2.099 1.050 2.092
Be 2.102 3.151 2.092

***

10
Lattice="8.234 0.000 0.000 0.000 8.234 0.000 0.000 0.000 3.376" Properties=species:S:1:pos:R:3 comment="Y2BeV2 GGA-PBE relaxed" m_tot_mub_per_cell=1.61 space_group="P4/mbm (127)" formation_enthalpy_0k_kj_per_mol_fu=385 pbc="T T T"
V 7.556 3.439 1.688
Y 5.790 1.673 0.000
V 3.439 0.678 1.688
Be 0.000 0.000 0.000
Y 2.444 6.561 0.000
Y 6.561 5.790 0.000
V 0.678 4.795 1.688
Y 1.673 2.444 0.000
Be 4.117 4.117 0.000
V 4.795 7.556 1.688